*1*
First-principles (PBE) data for an optimized crystal structure of Er2HfCo, as listed in Alexandria.

abc: 10.288 10.288 10.288
angles: 18.32 18.32 18.32
Element x y z (fractional)
Er  0.105  0.105  0.105
Er  0.895  0.895  0.895
Hf  0.000  0.000  0.000
Co  0.500  0.500  0.500

Computed properties:
N(E_F): 1.3918 states/eV per atom
Space-group type: R-3m, No. 166

*2*
First-principles (PBE) data for an optimized crystal structure of Er2HfCo, as listed in Alexandria.

abc: 3.342 3.342 7.909
angles: 90.00 90.00 90.00
Element x y z (fractional)
Er  0.000  0.000  0.205
Er  0.000  0.000  0.795
Hf  0.500  0.500  0.500
Co  0.500  0.500  0.000

Computed properties:
N(E_F): 1.2875 states/eV per atom
Space-group type: P4/mmm, No. 123

Most stable: *2*. Least stable: *1*.

*1*
First-principles (PBE) data for an optimized crystal structure of Er3CoHg, as listed in Alexandria.

abc: 5.098 5.098 5.098
angles: 90.00 90.00 90.00
Element x y z (fractional)
Er  0.000  0.000  0.500
Er  0.000  0.500  0.000
Er  0.500  0.000  0.000
Co  0.000  0.000  0.000
Hg  0.500  0.500  0.500

Computed properties:
N(E_F): 1.0225 states/eV per atom
Space-group type: Pm-3m, No. 221

*2*
First-principles (PBE) data for an optimized crystal structure of Er3CoHg, as listed in Alexandria.

abc: 5.452 6.425 8.194
angles: 70.07 77.88 65.47
Element x y z (fractional)
Er  0.033  0.163  0.119
Er  0.364  0.182  0.690
Er  0.369  0.465  0.224
Er  0.631  0.535  0.776
Er  0.636  0.818  0.310
Er  0.967  0.837  0.881
Co  0.444  0.835  0.981
Co  0.556  0.165  0.019
Hg  0.110  0.735  0.520
Hg  0.890  0.265  0.480

Computed properties:
N(E_F): 0.9177 states/eV per atom
Space-group type: P-1, No. 2

Most stable: *2*. Least stable: *1*.

*1*
First-principles (PBE) data for an optimized crystal structure of Er2CoHg, as listed in Alexandria.

abc: 3.401 3.401 7.462
angles: 90.00 90.00 90.00
Element x y z (fractional)
Er  0.000  0.000  0.216
Er  0.000  0.000  0.784
Co  0.500  0.500  0.000
Hg  0.500  0.500  0.500

Computed properties:
N(E_F): 0.4883 states/eV per atom
Space-group type: P4/mmm, No. 123

*2*
First-principles (PBE) data for an optimized crystal structure of Er2CoHg, as listed in Alexandria.

abc: 8.028 8.028 8.028
angles: 27.21 27.21 27.21
Element x y z (fractional)
Er  0.232  0.232  0.232
Er  0.768  0.768  0.768
Co  0.500  0.500  0.500
Hg  0.000  0.000  0.000

Computed properties:
N(E_F): 0.4454 states/eV per atom
Space-group type: R-3m, No. 166

Most stable: *1*. Least stable: *2*.

*1*
First-principles (PBE) data for an optimized crystal structure of Ho2ErCo2, as listed in Alexandria.

abc: 6.068 6.068 7.271
angles: 100.66 100.66 56.53
Element x y z (fractional)
Ho  0.042  0.276  0.151
Ho  0.276  0.042  0.651
Ho  0.724  0.958  0.349
Ho  0.958  0.724  0.849
Er  0.408  0.592  0.250
Er  0.592  0.408  0.750
Co  0.194  0.476  0.487
Co  0.476  0.194  0.987
Co  0.524  0.806  0.013
Co  0.806  0.524  0.513

Computed properties:
N(E_F): 0.7767 states/eV per atom
Space-group type: C2/c, No. 15

*2*
First-principles (PBE) data for an optimized crystal structure of Ho2ErCo2, as listed in Alexandria.

abc: 5.758 5.758 6.026
angles: 119.66 119.66 39.41
Element x y z (fractional)
Ho  0.193  0.193  0.185
Ho  0.807  0.807  0.815
Er  0.000  0.000  0.500
Co  0.484  0.484  0.174
Co  0.516  0.516  0.826

Computed properties:
N(E_F): 0.8627 states/eV per atom
Space-group type: C2/m, No. 12

Most stable: *1*. Least stable: *2*.

*1*
First-principles (PBE) data for an optimized crystal structure of HoErCo, as listed in Alexandria.

abc: 6.687 6.687 6.679
angles: 104.45 104.45 28.92
Element x y z (fractional)
Ho  0.129  0.129  0.064
Ho  0.871  0.871  0.936
Er  0.128  0.128  0.564
Er  0.872  0.872  0.436
Co  0.500  0.500  0.251
Co  0.500  0.500  0.749

Computed properties:
N(E_F): 0.6705 states/eV per atom
Space-group type: C2/m, No. 12

*2*
First-principles (PBE) data for an optimized crystal structure of HoErCo, as listed in Alexandria.

abc: 4.653 4.653 4.653
angles: 60.00 60.00 60.00
Element x y z (fractional)
Ho  0.000  0.000  0.000
Er  0.500  0.500  0.500
Co  0.250  0.250  0.250

Computed properties:
N(E_F): 1.0495 states/eV per atom
Space-group type: F-43m, No. 216

*3*
First-principles (PBE) data for an optimized crystal structure of HoErCo, as listed in Alexandria.

abc: 3.828 3.828 6.154
angles: 90.00 90.00 120.00
Element x y z (fractional)
Ho  0.000  0.000  0.000
Er  0.333  0.667  0.466
Co  0.667  0.333  0.234

Computed properties:
N(E_F): 0.9359 states/eV per atom
Space-group type: P3m1, No. 156

Most stable: *1*. Least stable: *3*.

*1*
First-principles (PBE) data for an optimized crystal structure of HoErCo2, as listed in Alexandria.

abc: 4.679 4.679 3.324
angles: 90.00 90.00 90.00
Element x y z (fractional)
Ho  0.000  0.000  0.000
Er  0.500  0.500  0.000
Co  0.000  0.500  0.500
Co  0.500  0.000  0.500

Computed properties:
N(E_F): 0.4040 states/eV per atom
Space-group type: P4/mmm, No. 123

*2*
First-principles (PBE) data for an optimized crystal structure of HoErCo2, as listed in Alexandria.

abc: 3.843 5.483 7.427
angles: 90.00 90.00 90.00
Element x y z (fractional)
Ho  0.000  0.134  0.000
Ho  0.000  0.866  0.500
Er  0.500  0.366  0.644
Er  0.500  0.634  0.144
Co  0.000  0.352  0.350
Co  0.000  0.648  0.850
Co  0.500  0.150  0.295
Co  0.500  0.850  0.795

Computed properties:
N(E_F): 1.0902 states/eV per atom
Space-group type: Pmc2_1, No. 26

Most stable: *2*. Least stable: *1*.

*1*
First-principles (PBE) data for an optimized crystal structure of HoEr2Co2, as listed in Alexandria.

abc: 5.881 5.881 5.449
angles: 102.86 102.86 36.62
Element x y z (fractional)
Ho  0.000  0.000  0.000
Er  0.352  0.352  0.418
Er  0.648  0.648  0.582
Co  0.284  0.284  0.895
Co  0.716  0.716  0.105

Computed properties:
N(E_F): 0.7366 states/eV per atom
Space-group type: C2/m, No. 12

*2*
First-principles (PBE) data for an optimized crystal structure of HoEr2Co2, as listed in Alexandria.

abc: 7.123 7.123 4.145
angles: 90.00 90.00 90.00
Element x y z (fractional)
Ho  0.000  0.000  0.000
Ho  0.500  0.500  0.000
Er  0.172  0.328  0.500
Er  0.328  0.828  0.500
Er  0.672  0.172  0.500
Er  0.828  0.672  0.500
Co  0.112  0.612  0.000
Co  0.388  0.112  0.000
Co  0.612  0.888  0.000
Co  0.888  0.388  0.000

Computed properties:
N(E_F): 0.5640 states/eV per atom
Space-group type: P4/mbm, No. 127

Most stable: *2*. Least stable: *1*.

*1*
First-principles (PBE) data for an optimized crystal structure of HoErMgCo, as listed in Alexandria.

abc: 4.984 4.984 4.984
angles: 60.00 60.00 60.00
Element x y z (fractional)
Ho  0.000  0.000  0.000
Er  0.500  0.500  0.500
Mg  0.750  0.750  0.750
Co  0.250  0.250  0.250

Computed properties:
N(E_F): 0.5785 states/eV per atom
Space-group type: F-43m, No. 216

*2*
First-principles (PBE) data for an optimized crystal structure of HoErMgCo, as listed in Alexandria.

abc: 3.373 3.373 8.038
angles: 90.00 90.00 90.00
Element x y z (fractional)
Ho  0.000  0.000  0.000
Er  0.000  0.000  0.599
Mg  0.500  0.500  0.301
Co  0.500  0.500  0.798

Computed properties:
N(E_F): 0.8218 states/eV per atom
Space-group type: P4mm, No. 99

Most stable: *2*. Least stable: *1*.